Density functional theory data (PBE with a Hubbard U) for crystalline ThCoAs2O8 at its relaxed geometry.

Cell and atoms, written as POSCAR:
```
ThCoAs2O8
1.0
5.458 0.000 0.000
-2.729 4.727 0.000
0.000 0.000 6.726
Th Co As O
1 1 2 8
Cartesian
0.000 0.000 3.363 Th
0.000 0.000 0.000 Co
2.729 1.576 1.911 As
0.000 3.151 4.815 As
4.159 0.750 1.439 O
2.729 3.227 1.439 O
1.298 0.750 1.439 O
1.431 3.977 5.287 O
0.000 3.151 3.111 O
2.729 1.576 3.615 O
-1.431 3.977 5.287 O
0.000 1.499 5.287 O
```

Values from the calculation:
Electronic total energy in eV per atom: -6.833